In3Ag4 (PBEsol, relaxed); N(E_F) = 1.888 states/eV/f.u.; E_form = -15.7 kJ/mol of formula units; raw total energy = -22.4 eV/cell; space-group type = I4/mmm, No. 139
1.0
3.586 0.000 0.000
0.000 3.586 0.000
-1.793 -1.793 10.462
Ag In
4 3
Cartesian
1.793 1.793 1.491
0.000 0.000 2.907
1.793 1.793 7.555
0.000 0.000 8.971
0.000 0.000 0.000
0.000 0.000 6.122
1.793 1.793 4.340

KNi2F (PBEsol, relaxed); N(E_F) = 8.642 states/eV/f.u.; raw total energy = -12.0 eV/cell; formation energy (no corrections) = 3.328 eV/f.u.; space-group type = Fm-3m, No. 225
1.0
-1.237 3.462 2.304
-1.546 -0.511 4.022
2.353 1.291 3.409
K Ni F
1 2 1
Cartesian
-0.215 2.121 4.868
-0.107 1.060 2.434
-0.322 3.181 7.301
0.000 0.000 0.000

Er3Ge13Ru4 (PBEsol, relaxed); N(E_F) = 8.174 states/eV/f.u.; E_form = -930.3 kJ/mol of formula units; raw total energy = -258.6 eV/cell; space-group type = Pm-3n, No. 223
1.0
-4.044 -6.768 -4.104
-3.422 -2.660 7.760
-7.137 5.111 -1.395
Ge Ru Er
26 8 6
Cartesian
-8.867 0.384 1.312
-7.895 1.295 5.646
-3.870 -3.968 -3.067
-7.287 -3.716 3.685
-1.631 -1.801 1.745
-6.581 -0.502 3.514
-4.546 -2.710 2.157
-8.022 -3.816 -1.253
-2.663 1.155 0.719
-8.907 -0.361 -4.051
-5.835 -7.627 1.911
-9.387 -2.212 3.274
-5.736 -4.701 0.949
-7.301 -2.159 1.131
-7.316 -0.602 -1.423
0.000 0.000 0.000
-2.274 -1.297 -1.447
-7.311 2.310 -2.432
-5.480 3.172 0.169
-4.485 -6.577 -1.151
-2.981 -2.851 4.808
-5.574 0.281 1.231
-9.029 -4.599 1.030
-10.057 -1.608 0.105
-5.078 -0.722 6.196
-5.216 -2.105 -1.013
-5.361 -2.410 4.445
-8.930 0.146 3.748
-7.219 1.476 -0.132
-7.384 -5.794 2.394
-10.952 -3.238 1.696
-5.673 -4.463 -1.486
-3.651 -1.079 0.565
-9.241 -1.908 -2.184
-3.495 -0.053 3.531
-2.878 -4.049 -0.112
-6.602 -2.521 -3.775
-4.580 0.863 -1.723
-7.063 2.503 2.834
-4.588 -5.379 3.768

Co2MoAu (PBEsol, relaxed); N(E_F) = 4.414 states/eV/f.u.; E_form = 112.3 kJ/mol of formula units; raw total energy = -30.0 eV/cell; space-group type = R3m, No. 160
1.0
2.682 0.000 0.000
1.341 2.323 0.000
1.341 0.774 8.632
Mo Co Au
1 2 1
Cartesian
2.682 1.548 4.508
1.341 0.774 8.433
4.023 2.323 6.597
1.341 0.774 2.042

LiLa2Zn (PBEsol, relaxed); N(E_F) = 4.686 states/eV/f.u.; E_form = -33.1 kJ/mol of formula units; raw total energy = -14.6 eV/cell; space-group type = Cmmm, No. 65
1.0
-2.053 -3.266 -0.554
-0.070 -0.817 5.080
-4.372 2.692 0.338
Li La Zn
1 2 1
Cartesian
-1.027 -1.633 -0.277
-2.186 1.346 0.169
-0.035 -0.409 2.540
-3.248 -0.696 2.432

TcAsPbSe2 (PBEsol, relaxed); N(E_F) = 4.388 states/eV/f.u.; raw total energy = -20.3 eV/cell; formation energy (no corrections) = 7.811 eV/f.u.; space-group type = P4/mmm, No. 123
1.0
-1.030 1.917 4.807
-5.178 -0.509 -0.906
0.135 -4.894 1.981
Se As Pb Tc
2 1 1 1
Cartesian
0.067 -2.447 0.991
-2.589 -0.255 -0.453
-0.515 0.959 2.403
0.000 0.000 0.000
-3.037 -1.743 2.941

CdAu (PBEsol, relaxed); N(E_F) = 0.613 states/eV/f.u.; E_form = -19.7 kJ/mol of formula units; raw total energy = -10.6 eV/cell; space-group type = Cmcm, No. 63
1.0
2.873 0.000 0.000
0.000 4.751 0.000
-1.436 0.000 5.420
Au Cd
2 2
Cartesian
1.436 3.563 3.721
0.000 1.188 1.699
1.436 3.563 0.917
0.000 1.188 4.503

Ce3Rh4Pb13 (PBEsol, relaxed); N(E_F) = 24.246 states/eV/f.u.; E_form = -497.3 kJ/mol of formula units; raw total energy = -219.0 eV/cell; space-group type = Pm-3n, No. 223
1.0
9.924 0.000 0.000
0.000 9.924 0.000
0.000 0.000 9.924
Pb Ce Rh
26 6 8
Cartesian
6.859 0.000 1.529
8.396 3.065 0.000
6.491 4.962 1.897
4.962 1.897 3.433
0.000 1.529 3.065
8.027 3.433 4.962
6.491 4.962 8.027
3.433 4.962 8.027
4.962 8.027 6.491
4.962 8.027 3.433
8.396 6.859 0.000
6.859 0.000 8.396
0.000 0.000 0.000
0.000 8.396 3.065
1.529 6.859 0.000
1.529 3.065 0.000
1.897 3.433 4.962
0.000 1.529 6.859
3.433 4.962 1.897
3.065 0.000 8.396
4.962 4.962 4.962
4.962 1.897 6.491
1.897 6.491 4.962
3.065 0.000 1.529
0.000 8.396 6.859
8.027 6.491 4.962
0.000 4.962 7.443
2.481 0.000 4.962
4.962 2.481 0.000
0.000 4.962 2.481
4.962 7.443 0.000
7.443 0.000 4.962
2.481 7.443 7.443
7.443 2.481 7.443
7.443 7.443 7.443
2.481 2.481 2.481
2.481 7.443 2.481
7.443 2.481 2.481
2.481 2.481 7.443
7.443 7.443 2.481

TaSiH3 (PBEsol, relaxed); N(E_F) = 2.714 states/eV/f.u.; raw total energy = -24.9 eV/cell; space-group type = Pm-3m, No. 221
1.0
3.367 0.000 0.000
0.000 3.367 0.000
0.000 0.000 3.367
H Si Ta
3 1 1
Cartesian
0.000 1.683 0.000
0.000 0.000 1.683
1.683 0.000 0.000
0.000 0.000 0.000
1.683 1.683 1.683

KYP2O7 (PBEsol, relaxed); N(E_F) = 0.000 states/eV/f.u.; excess energy over the best structure of this formula in the dataset = 8.6 meV per atom; raw total energy = -172.0 eV/cell; formation energy (no corrections) = -29.733 eV/f.u.; space-group type = Cmcm, No. 63
1.0
5.428 0.005 0.000
-2.412 4.863 0.000
0.000 0.000 12.222
O Y P K
14 2 4 2
Cartesian
3.641 1.112 0.636
0.434 1.607 7.621
1.246 1.104 4.601
0.434 1.607 10.712
1.246 1.104 1.510
-0.625 3.755 11.586
3.231 1.366 3.055
2.582 3.260 1.510
-0.215 3.501 9.166
-0.625 3.755 6.747
1.770 3.763 10.712
2.582 3.260 4.601
3.641 1.112 5.475
1.770 3.763 7.621
0.000 0.000 0.000
0.000 0.000 6.111
2.633 1.737 4.536
0.383 3.131 7.686
2.633 1.737 1.575
0.383 3.131 10.646
3.031 1.490 9.166
-0.015 3.377 3.055

K2NaInAs2 (PBEsol, relaxed); E_form = -280.5 kJ/mol of formula units; raw total energy = -39.5 eV/cell; space-group type = Ibam, No. 72
1.0
6.701 0.000 0.000
0.000 6.726 0.000
3.351 3.363 7.631
K As Na In
4 4 2 2
Cartesian
8.440 6.726 4.956
5.090 6.726 2.675
1.611 3.363 2.675
4.962 3.363 4.956
5.241 6.726 6.063
8.161 3.363 6.063
4.811 3.363 1.567
1.890 6.726 1.567
0.000 1.681 0.000
0.000 5.044 0.000
3.351 1.681 0.000
3.351 5.044 0.000

SiOsS2N (PBEsol, relaxed); N(E_F) = 3.396 states/eV/f.u.; raw total energy = -32.7 eV/cell; formation energy (no corrections) = 2.533 eV/f.u.; space-group type = P4/mmm, No. 123
1.0
3.648 0.000 0.000
0.000 4.748 0.000
0.000 0.000 4.748
S N Si Os
2 1 1 1
Cartesian
0.000 2.374 0.000
0.000 0.000 2.374
1.824 0.000 0.000
1.824 2.374 2.374
0.000 0.000 0.000

Ba11Os4O24 (PBEsol, relaxed); N(E_F) = 22.948 states/eV/f.u.; raw total energy = -562.7 eV/cell; formation energy (no corrections) = -82.858 eV/f.u.; space-group type = I4_1/a, No. 88
1.0
12.007 0.022 0.032
-5.781 10.524 -0.032
-5.781 -3.698 9.853
O Os Ba
48 8 22
Cartesian
-2.912 0.309 4.791
4.329 2.709 7.298
-2.646 2.972 7.518
-1.224 6.218 5.147
-0.886 1.580 6.065
-9.837 4.192 9.818
5.724 5.073 0.251
4.938 -2.746 7.433
1.511 6.050 4.907
-1.228 4.454 9.836
-1.247 2.714 0.108
6.071 4.584 2.800
-1.213 4.445 2.237
-2.710 2.941 4.771
1.436 2.535 0.218
0.378 -1.280 9.541
-5.021 7.412 4.415
6.507 1.929 2.236
1.470 4.265 2.348
-2.848 0.341 7.538
-0.032 1.953 2.470
-2.756 7.157 2.288
4.326 0.109 6.407
2.257 1.168 7.728
2.123 3.195 5.934
1.893 7.610 7.162
-4.255 9.454 2.218
-5.526 1.329 9.838
3.363 7.059 2.231
-4.672 1.701 6.244
4.232 3.203 1.367
4.192 2.136 4.612
-0.858 -1.994 6.258
1.897 9.374 2.472
2.120 0.595 5.043
0.308 5.348 7.271
-1.303 8.050 0.205
8.867 -0.058 0.256
-7.235 6.118 5.402
0.360 8.480 5.037
-6.318 6.393 7.862
4.278 -0.910 2.491
-4.104 7.688 6.875
4.632 9.510 2.306
1.817 8.016 0.149
-4.700 5.275 6.051
-2.802 10.347 0.136
7.998 3.799 1.120
3.225 8.763 1.228
-2.779 8.752 1.212
0.111 3.490 1.228
-5.670 6.903 6.138
0.334 6.914 6.154
3.225 1.652 6.170
-2.779 1.641 6.154
6.115 3.501 1.244
-5.397 3.583 7.898
0.223 6.980 2.455
-2.726 1.609 2.316
3.665 4.550 3.805
2.639 1.389 2.451
2.949 5.370 0.140
-8.836 5.217 7.506
-1.991 -1.792 8.599
6.168 7.210 1.940
-2.448 5.609 7.618
-0.161 -0.302 4.411
-5.468 -0.511 7.697
2.784 -1.247 8.535
-0.090 3.793 4.612
0.281 10.316 0.515
0.259 2.814 8.046
6.190 0.490 4.294
-2.503 8.589 4.771
0.000 0.000 0.000
-2.416 5.591 0.004
3.116 8.219 4.691
-3.567 5.073 3.710

AgSnSb2Te (PBEsol, relaxed); N(E_F) = 5.282 states/eV/f.u.; raw total energy = -15.5 eV/cell; formation energy (no corrections) = 4.679 eV/f.u.; space-group type = P4/mmm, No. 123
1.0
-4.088 2.534 -2.755
-3.265 -4.409 0.790
-1.857 2.238 4.815
Sb Sn Ag Te
2 1 1 1
Cartesian
-1.633 -2.204 0.395
-2.044 1.267 -1.377
0.000 0.000 0.000
-4.605 0.182 1.425
-0.928 1.119 2.407

EuAl2 (PBEsol, relaxed); N(E_F) = 5.675 states/eV/f.u.; E_form = -126.2 kJ/mol of formula units; raw total energy = -40.1 eV/cell; space-group type = Fd-3m, No. 227
1.0
-5.305 -1.514 1.137
-1.130 -5.256 1.680
-1.570 -0.980 5.320
Al Eu
4 2
Cartesian
-5.003 -4.843 5.086
-4.218 -4.354 2.426
-4.438 -2.216 4.246
-2.351 -4.087 4.517
-2.001 -1.937 2.034
0.000 0.000 0.000

ScMn2WAu (PBEsol, relaxed); N(E_F) = 4.293 states/eV/f.u.; E_form = 578.1 kJ/mol of formula units; raw total energy = -37.9 eV/cell; space-group type = P4/mmm, No. 123
1.0
4.471 0.000 0.000
0.000 4.471 0.000
0.000 0.000 5.017
Sc W Au Mn
1 1 1 2
Cartesian
0.000 0.000 2.508
0.000 0.000 0.000
2.236 2.236 2.508
0.000 2.236 0.000
2.236 0.000 0.000

In2Ru (PBEsol, relaxed); N(E_F) = 2.717 states/eV/f.u.; E_form = 128.7 kJ/mol of formula units; raw total energy = -14.8 eV/cell; space-group type = P6/mmm, No. 191
1.0
2.944 0.000 0.000
0.000 4.615 0.000
0.000 -2.308 3.997
In Ru
2 1
Cartesian
1.472 2.308 1.332
1.472 0.000 2.664
0.000 0.000 0.000

CdSn3O (PBEsol, relaxed); N(E_F) = 1.618 states/eV/f.u.; raw total energy = -20.4 eV/cell; formation energy (no corrections) = -1.210 eV/f.u.; space-group type = Pm-3m, No. 221
1.0
-3.952 0.022 2.701
2.678 -0.597 3.923
0.355 4.750 0.481
Sn O Cd
3 1 1
Cartesian
0.178 2.375 0.240
-1.976 0.011 1.351
1.339 -0.299 1.961
0.000 0.000 0.000
-0.459 2.087 3.552

TaNiPb2 (PBEsol, relaxed); N(E_F) = 2.367 states/eV/f.u.; E_form = 157.3 kJ/mol of formula units; excess energy over the best structure of this formula in the dataset = 0.0 meV per atom; raw total energy = -25.1 eV/cell; space-group type = Imm2, No. 44
1.0
3.080 0.000 0.000
0.000 4.938 0.000
-1.540 -2.469 5.306
Pb Ta Ni
2 1 1
Cartesian
1.540 2.469 4.948
1.540 0.000 2.743
1.540 2.469 0.489
0.000 2.469 2.432